P.
Ca2ZnSb: optimized geometry, PBE.

Structure (extended XYZ):
```
4
Lattice="-4.782 -1.537 0.616 1.603 -4.769 0.544 0.346 0.591 4.160" Properties=species:S:1:pos:R:3 pbc="T T T"
Ca -1.590 -3.153 0.580
Ca 0.000 0.000 0.000
Zn 0.974 -2.089 2.352
Sb -2.218 -0.473 2.388
```

=====

Q.
Ca2ZnSb: optimized geometry, PBE.

Structure (extended XYZ):
```
4
Lattice="-3.480 -5.252 1.622 2.718 -5.854 0.815 0.469 6.220 1.848" Properties=species:S:1:pos:R:3 pbc="T T T"
Zn 1.376 -2.999 2.030
Sb -0.353 -5.152 1.130
Ca -0.006 -0.083 0.018
Ca -1.689 -2.205 2.325
```

=====

Which one sits at the bottom of the stability order? Q does.

=====

P.
Ca2Zn2Sb: optimized geometry, PBE.

Structure (extended XYZ):
```
10
Lattice="-5.858 -2.752 -3.744 -3.135 -2.107 6.453 -2.044 3.948 0.296" Properties=species:S:1:pos:R:3 pbc="T T T"
Ca -4.191 0.055 3.857
Ca -3.466 0.713 0.092
Zn -7.101 -3.729 0.697
Sb -4.496 -2.430 1.354
Ca -6.846 -0.967 -0.852
Zn -4.000 -1.955 -1.549
Sb 0.000 0.000 0.000
Zn -1.892 -1.131 2.012
Zn -4.992 -2.904 4.258
Ca -7.571 -1.624 2.913
```

=====

Q.
Ca2Zn2Sb: optimized geometry, PBE.

Structure (extended XYZ):
```
5
Lattice="5.860 0.000 0.000 0.000 5.860 0.000 2.930 2.930 4.014" Properties=species:S:1:pos:R:3 pbc="T T T"
Sb 0.000 0.000 0.000
Zn 2.930 2.930 1.182
Ca 2.930 5.860 2.007
Zn 5.860 5.860 2.832
Ca 5.860 2.930 2.007
```

=====

Which one sits at the bottom of the stability order? Q does.